# SmHo3Al2, relaxed, DFT PBE
# ΔE to the lowest computed polymorph = 75 meV/atom
# calculated formation energy = -0.1802 eV/atom
data_SmHo3Al2
_chemical_formula_sum 'Sm2 Ho6 Al4'
_cell_length_a 5.310
_cell_length_b 7.244
_cell_length_c 9.330
_cell_angle_alpha 112.84
_cell_angle_beta 106.53
_cell_angle_gamma 90.00
_symmetry_space_group_name_H-M 'P 1'
_symmetry_Int_Tables_number 1
_symmetry_space_group_name_Hall 'P 1'
loop_
_atom_site_label
_atom_site_type_symbol
_atom_site_fract_x
_atom_site_fract_y
_atom_site_fract_z
Ho1 Ho 0.817 0.567 0.635
Ho2 Ho 0.183 0.433 0.365
Ho3 Ho 0.183 0.933 0.365
Ho4 Ho 0.500 0.250 0.000
Ho5 Ho 0.500 0.750 0.000
Ho6 Ho 0.817 0.067 0.635
Sm1 Sm 0.000 0.500 0.000
Sm2 Sm 0.000 0.000 0.000
Al1 Al 0.655 0.655 0.309
Al2 Al 0.345 0.845 0.691
Al3 Al 0.655 0.155 0.309
Al4 Al 0.345 0.345 0.691